[1]
A plane-wave DFT calculation with GGA-PBE was carried out for a geometry-optimized Pm12ErSc6 structure.

Values from the calculation:
crystal system	cubic
theoretical density	6.04	Mg/m³
raw total energy	-5.007	eV/atom
total magnetic moment	0.00	μB/cell
E above lowest polymorph	0	meV per atom
formation energy from the elements	0.23	eV/atom

a b c (Å): 10.620 10.620 10.620
angles (deg): 90.00 90.00 90.00
Space group Im-3 (No. 204)
Asymmetric unit:
Pm (0.000, 0.268, 0.199)
Er (0.000, 0.000, 0.000)
Sc (0.000, 0.138, 0.500)



[2]
A plane-wave DFT calculation with GGA-PBE was carried out for a geometry-optimized ZnAuN2 structure.

Values from the calculation:
crystal system	trigonal
theoretical density	8.60	Mg/m³
raw total energy	-4.229	eV/atom
E_form (uncorrected)	4.28	eV/f.u.
total magnetic moment	0.00	μB/cell
E above lowest polymorph	0	meV per atom

a b c (Å): 3.3534 3.3534 17.2786
angles (deg): 90.00 90.00 120.00
Space group R-3m (No. 166, hexagonal axes)
Asymmetric unit:
Zn (0.0000, 0.0000, 0.0000)
Au (0.0000, 0.0000, 0.5000)
N (0.0000, 0.0000, 0.1088)



[3]
A plane-wave DFT calculation with GGA-PBE was carried out for a geometry-optimized Rb2ScCBr6 structure.

Values from the calculation:
crystal system	tetragonal
theoretical density	3.64	Mg/m³
raw total energy	-3.568	eV/atom
E_form (uncorrected)	-8.15	eV/f.u.
total magnetic moment	2.00	μB/cell

a b c (Å): 7.298 7.298 12.120
angles (deg): 90.00 90.00 90.00
Space group I4/mmm (No. 139)
Asymmetric unit:
Rb (0.000, 0.500, 0.250)
Sc (0.000, 0.000, 0.000)
C (0.000, 0.000, 0.500)
Br (0.000, 0.000, 0.218)
Br (0.240, 0.240, 0.500)



[4]
A plane-wave DFT calculation with GGA-PBE was carried out for a geometry-optimized La3Pm4Th2 structure.

Values from the calculation:
crystal system	triclinic
theoretical density	7.76	Mg/m³
raw total energy	-5.339	eV/atom
total magnetic moment	0.00	μB/cell
E above lowest polymorph	0	meV per atom
formation energy from the elements	0.06	eV/atom

a b c (Å): 7.202 8.676 10.579
angles (deg): 98.81 99.70 102.08
Space group P-1 (No. 2)
Asymmetric unit:
La (0.034, 0.171, 0.452)
La (0.255, 0.503, 0.991)
La (0.366, 0.172, 0.775)
Pm (0.064, 0.842, 0.894)
Pm (0.144, 0.831, 0.234)
Pm (0.331, 0.478, 0.336)
Pm (0.471, 0.835, 0.560)
Th (0.170, 0.528, 0.659)
Th (0.447, 0.160, 0.110)